(1)
## ReBiRh2 (PBE-GGA)

Data for ReBiRh2 after structural relaxation.

POSCAR file:
```
ReBiRh2
1.0
5.8457 0.0000 0.0000
0.0000 5.8457 0.0000
2.9229 2.9229 5.7867
Bi Rh Re
2 4 2
direct
0.0000 0.0000 0.0000
0.7500 0.2500 0.5000
0.3750 0.4184 0.7500
0.5816 0.1250 0.2500
0.8750 0.8316 0.7500
0.1684 0.6250 0.2500
0.2500 0.7500 0.5000
0.5000 0.5000 0.0000
```

Summary:
As for the calculated formation energy: 784 meV/atom. The space group is I-42d.

=====

(2)
## Pr5In2Pb (PBE-GGA)

Data for Pr5In2Pb after structural relaxation.

POSCAR file:
```
Pr5In2Pb
1.0
-6.8057 2.2915 -5.0405
0.5508 -7.6671 -4.2293
-1.1002 -0.0724 9.0882
In Pr Pb
4 10 2
direct
0.8664 0.6336 0.0000
0.1336 0.3664 0.0000
0.6336 0.1336 0.0000
0.3664 0.8664 0.0000
0.5000 0.5000 0.0000
0.8139 0.9876 0.3015
0.0000 0.0000 0.0000
0.9876 0.4876 0.3015
0.5124 0.6861 0.6985
0.1861 0.0124 0.6985
0.6861 0.1861 0.6985
0.3139 0.8139 0.3015
0.4876 0.3139 0.3015
0.0124 0.5124 0.6985
0.2500 0.2500 0.5000
0.7500 0.7500 0.5000
```

Summary:
As for the calculated formation energy: -417 meV/atom. The space group is I4/mcm.

=====

(3)
## Ca2SmWN4 (PBE-GGA)

Data for Ca2SmWN4 after structural relaxation.

POSCAR file:
```
Ca2SmWN4
1.0
-2.0962 -2.1891 4.3537
5.2030 -4.2797 0.3533
3.8275 5.0135 4.3638
N W Sm Ca
8 2 2 4
direct
0.4197 0.7011 0.7131
0.8513 0.8340 0.5000
0.9197 0.2989 0.2131
0.4254 0.1161 0.5000
0.9197 0.2989 0.7869
0.3513 0.1660 0.0000
0.9254 0.8839 0.0000
0.4197 0.7011 0.2869
0.4987 0.8343 0.5000
0.9987 0.1657 0.0000
0.9621 0.1573 0.5000
0.4621 0.8427 0.0000
0.4616 0.3408 0.2492
0.4616 0.3408 0.7508
0.9616 0.6592 0.7492
0.9616 0.6592 0.2508
```

Summary:
Its uncorrected energy is -7.92 eV per atom. The space group is Pmn2_1.

=====

(4)
## Zr2ZnAu4 (PBE-GGA)

Data for Zr2ZnAu4 after structural relaxation.

POSCAR file:
```
Zr2ZnAu4
1.0
-1.4953 2.9598 -3.5006
-4.0961 -0.9115 -2.3749
-5.1069 4.2070 2.6701
Zr Au Zn
2 4 1
direct
0.7217 0.7217 0.8234
0.2783 0.2783 0.1766
0.5875 0.5875 0.2513
0.1262 0.1262 0.6055
0.8738 0.8738 0.3945
0.4125 0.4125 0.7487
0.0000 0.0000 0.0000
```

Summary:
As for the calculated formation energy: -395 meV/atom. The space group is C2/m.